# PBE RbTl2W, relaxed
# DFT formation energy	1.122	eV per atom
# crystal system	tetragonal
# ΔE to the lowest computed polymorph	0.000	eV/atom
data_RbTl2W
_symmetry_space_group_name_H-M 'I -4 2 d'
_symmetry_Int_Tables_number 122
_symmetry_space_group_name_Hall 'I -4 2bw'
_cell_length_a 6.9729
_cell_length_b 6.9729
_cell_length_c 15.8622
_cell_angle_alpha 90.00
_cell_angle_beta 90.00
_cell_angle_gamma 90.00
loop_
_atom_site_label
_atom_site_type_symbol
_atom_site_fract_x
_atom_site_fract_y
_atom_site_fract_z
Rb1 Rb 0.0000 0.0000 0.0000
Tl1 Tl 0.0339 0.2500 0.6250
W1 W 0.0000 0.0000 0.5000